# 1
VASP calculation (PBE-GGA) on a relaxed AlCd2Mo crystal.

Values from the calculation:
For the volume, the calculation gives 73 Å³/f.u. Its formation energy is 1.0 eV/f.u.

Cell lengths 10.549, 2.994, 4.804 Å; angles 90.00, 106.36, 90.00 degrees
Space group C2/m (No. 12)
Asymmetric unit:
Al: 0.000 0.000 0.000
Cd: 0.248 0.000 0.747
Mo: 0.000 0.500 0.500

***

# 2
VASP calculation (PBE-GGA) on a relaxed AlCd2Mo crystal.

Values from the calculation:
For the volume, the calculation gives 74 Å³/f.u. Its formation energy is 0.8 eV/f.u.

Cell lengths 2.9681, 2.9681, 29.2040 Å; angles 90.00, 90.00, 120.00 degrees
Space group R3m (No. 160, hexagonal axes)
Asymmetric unit:
Al: 0.0000 0.0000 0.0000
Cd: 0.0000 0.0000 0.5105
Cd: 0.0000 0.0000 0.7516
Mo: 0.0000 0.0000 0.2609

***

# 3
VASP calculation (PBE-GGA) on a relaxed AlCd2Mo crystal.

Values from the calculation:
For the volume, the calculation gives 74 Å³/f.u. Its formation energy is 1.3 eV/f.u.

Cell lengths 3.008, 5.000, 9.822 Å; angles 90.00, 90.00, 90.00 degrees
Space group Imm2 (No. 44)
Asymmetric unit:
Al: 0.000 0.000 0.000
Cd: 0.000 0.000 0.523
Cd: 0.000 0.500 0.757
Mo: 0.000 0.500 0.280

***

# 4
VASP calculation (PBE-GGA) on a relaxed Na2AlCdMo crystal.

Values from the calculation:
For the volume, the calculation gives 169 Å³/f.u. Its formation energy is 5.4 eV/f.u.

Cell lengths 5.814, 5.814, 4.992 Å; angles 90.00, 90.00, 90.00 degrees
Space group P4/mmm (No. 123)
Asymmetric unit:
Na: 0.000 0.500 0.000
Al: 0.000 0.000 0.500
Cd: 0.500 0.500 0.500
Mo: 0.000 0.000 0.000